Record 1
CrHgAs2Se, relaxed, DFT PBE; calculated volume = 21.42 Å³ per atom; magnetization = 0.000 μB/f.u.; D(E_F) = 0.858 states/eV per atom; polymorph energy (0 for the lowest one) = 0.0 meV per atom; ΔE_f (raw) = 152 kJ/mol of formula units
1.0
-4.138 -2.222 -0.845
1.886 -2.035 -3.883
1.426 -3.646 2.603
Hg Cr As Se
1 1 2 1
Cartesian
-0.414 -3.951 -1.063
0.000 0.000 0.000
0.943 -1.018 -1.942
-2.069 -1.111 -0.423
0.713 -1.823 1.302

---

Record 2
CrHgAsSe2, relaxed, DFT PBE; calculated volume = 21.92 Å³ per atom; magnetization = 0.000 μB/f.u.; D(E_F) = 1.036 states/eV per atom; polymorph energy (0 for the lowest one) = 0.0 meV per atom; ΔE_f (raw) = 131 kJ/mol of formula units
1.0
4.733 0.000 0.000
0.000 4.733 0.000
0.000 0.000 4.892
Cr Hg As Se
1 1 1 2
Cartesian
0.000 0.000 0.000
2.366 2.366 2.446
0.000 0.000 2.446
0.000 2.366 0.000
2.366 0.000 0.000